1.
{"formula": "Te2MoW", "functional": "SCAN", "state": "PBEsol geometry", "lattice": [[-3.1825, 0.2316, 0.3519], [1.4854, -4.1297, 3.0641], [2.0066, 4.4957, 2.1004]], "species": ["Mo", "W", "Te", "Te"], "fractional_positions": [[0.5000, 0.5000, 0.5000], [0.5000, 0.0000, 0.0000], [0.0000, 0.5000, 0.0000], [0.0000, 0.0000, 0.5000]], "spacegroup": "C2/m"}

---

2.
{"formula": "Te8MoW3", "functional": "SCAN", "state": "PBEsol geometry", "lattice": [[-0.3520, -3.1074, 1.5567], [1.6585, 0.2401, -3.0651], [24.2203, 3.9780, 13.4173]], "species": ["Te", "W", "Te", "W", "W", "Te", "Te", "Te", "Te", "Te", "Mo", "Te"], "fractional_positions": [[0.3333, 0.6667, 0.8135], [0.3333, 0.6667, 0.9986], [0.3333, 0.6667, 0.1846], [0.0000, 0.0000, 0.2496], [0.3333, 0.6667, 0.5000], [0.0000, 0.0000, 0.9336], [0.0000, 0.0000, 0.4350], [0.3333, 0.6667, 0.3145], [0.3333, 0.6667, 0.6845], [0.0000, 0.0000, 0.5649], [0.0000, 0.0000, 0.7490], [0.0000, 0.0000, 0.0635]], "spacegroup": "P3m1"}

---

3.
{"formula": "Te8Mo3W", "functional": "SCAN", "state": "PBEsol geometry", "lattice": [[3.4924, 0.0000, 0.0000], [-1.7462, 3.0245, 0.0000], [0.0000, 0.0000, 27.8947]], "species": ["W", "Te", "Te", "Te", "Te", "Te", "Mo", "Mo", "Te", "Te", "Mo", "Te"], "fractional_positions": [[0.0000, 0.0000, 0.4992], [0.6667, 0.3333, 0.4340], [0.6667, 0.3333, 0.5643], [0.0000, 0.0000, 0.6848], [0.0000, 0.0000, 0.1841], [0.6667, 0.3333, 0.0642], [0.6667, 0.3333, 0.7496], [0.6667, 0.3333, 0.2489], [0.6667, 0.3333, 0.9348], [0.0000, 0.0000, 0.3136], [0.0000, 0.0000, 0.9995], [0.0000, 0.0000, 0.8143]], "spacegroup": "P3m1"}

---

4.
{"formula": "Te2MoW", "functional": "SCAN", "state": "PBEsol geometry", "lattice": [[3.4557, 0.0000, 0.0000], [0.0000, 4.2241, 0.0000], [0.0000, 0.0000, 6.5626]], "species": ["W", "Te", "Te", "Mo"], "fractional_positions": [[0.0000, 0.0000, 0.3914], [0.0000, 0.5000, 0.6707], [0.5000, 0.0000, 0.0789], [0.5000, 0.5000, 0.3590]], "spacegroup": "Pmm2"}

---

5.
{"formula": "Y2TeMo", "functional": "SCAN", "state": "PBEsol geometry", "lattice": [[-0.3909, 2.6519, 2.1913], [-3.4221, -0.5247, 0.0245], [0.8206, -5.0590, 6.2688]], "species": ["Y", "Mo", "Te", "Y"], "fractional_positions": [[0.5000, 0.5000, 0.3031], [0.0000, 0.0000, 0.5425], [0.5000, 0.5000, 0.6978], [0.0000, 0.0000, 0.9565]], "spacegroup": "P4mm"}

---

6.
{"formula": "Y2TeMo", "functional": "SCAN", "state": "PBEsol geometry", "lattice": [[-0.7967, 2.4793, -2.2858], [-2.7491, 2.0382, 0.5426], [4.3125, 7.6518, 4.1702]], "species": ["Te", "Mo", "Y", "Y"], "fractional_positions": [[0.2375, 0.2375, 0.2876], [0.5085, 0.5085, 0.4746], [0.9925, 0.9925, 0.0226], [0.7616, 0.7616, 0.7152]], "spacegroup": "R3m"}

---

7.
{"formula": "YTeMo", "functional": "SCAN", "state": "PBEsol geometry", "lattice": [[4.6687, 0.0000, 0.0000], [2.3343, 4.0432, 0.0000], [2.3343, 1.3477, 3.8120]], "species": ["Mo", "Te", "Y"], "fractional_positions": [[0.5000, 0.5000, 0.5000], [0.2500, 0.2500, 0.2500], [0.0000, 0.0000, 0.0000]], "spacegroup": "F-43m"}

---

8.
{"formula": "Zn2TeMo", "functional": "SCAN", "state": "PBEsol geometry", "lattice": [[3.5072, 0.0000, 0.0000], [0.0000, 4.1533, -0.2325], [-1.7536, -1.8016, 4.6495]], "species": ["Te", "Mo", "Zn", "Zn"], "fractional_positions": [[0.5000, 0.0000, 0.0000], [0.0000, 0.5000, 0.0000], [0.2541, 0.2547, 0.5083], [0.7459, 0.7453, 0.4917]], "spacegroup": "C2/m"}

---

9.
{"formula": "ZnTeMo", "functional": "SCAN", "state": "PBEsol geometry", "lattice": [[-0.9327, -2.6138, -1.4490], [-0.5883, -2.0126, 4.0092], [-3.4113, 2.2766, -1.9107]], "species": ["Te", "Mo", "Zn"], "fractional_positions": [[0.0000, 0.3333, 0.6667], [0.0000, 0.0000, 0.0000], [0.5000, 0.6667, 0.3333]], "spacegroup": "P-6m2"}

---

10.
{"formula": "Zn2TeMo", "functional": "SCAN", "state": "PBEsol geometry", "lattice": [[3.2070, 0.0000, 0.0000], [0.0000, 4.8303, 0.0335], [0.0000, -2.0034, 4.3954]], "species": ["Zn", "Zn", "Mo", "Te"], "fractional_positions": [[0.0000, 0.0000, 0.5000], [0.0000, 0.5000, 0.0000], [0.5000, 0.0000, 0.0000], [0.5000, 0.5000, 0.5000]], "spacegroup": "Cmmm"}

---

11.
{"formula": "ZnTeMo", "functional": "SCAN", "state": "PBEsol geometry", "lattice": [[3.4146, 0.0000, 0.0000], [0.0000, 3.4146, 0.0000], [-1.7073, -1.7073, 4.3117]], "species": ["Mo", "Zn", "Te"], "fractional_positions": [[0.0018, 0.0018, 0.0037], [0.3389, 0.3389, 0.6777], [0.6593, 0.6593, 0.3186]], "spacegroup": "I4mm"}

---

12.
{"formula": "Zn2TeMo", "functional": "SCAN", "state": "PBEsol geometry", "lattice": [[-1.0202, -3.1305, 0.9060], [3.0748, -1.2401, -0.8181], [1.8118, 0.9594, 5.3550]], "species": ["Mo", "Te", "Zn", "Zn"], "fractional_positions": [[0.0000, 0.0000, 0.5059], [0.5000, 0.5000, 0.2691], [0.0000, 0.0000, 0.9642], [0.5000, 0.5000, 0.7608]], "spacegroup": "P4mm"}

---

Per-record energy, eV per atom: -43.603, -45.246, -39.571, -44.653, -32.060, -31.851, -33.161, -24.393, -27.925, -24.358, -28.426, -24.626
Per-record E_form (uncorrected), eV per atom: 1.1655, -0.0832, -0.2082, 0.1154, -0.1045, 0.1042, 0.1659, 0.3991, 0.6253, 0.4333, 0.1246, 0.1657